No. 1
DFT (PBE) results for an optimized crystal structure of Pm2NpFeN5.

Structure (POSCAR):
```
Pm2NpFeN5
1.0
3.4664 0.0000 0.0000
-1.7332 6.8061 0.0000
0.0000 0.0000 10.3089
Pm Np Fe N
4 2 2 10
direct
0.8689 0.7379 0.8323
0.1090 0.2180 0.6835
0.1311 0.2621 0.3323
0.8910 0.7820 0.1835
0.8073 0.6147 0.5231
0.1927 0.3853 0.0231
0.5399 0.0798 0.9428
0.4601 0.9202 0.4428
0.3435 0.6869 0.0081
0.6768 0.3537 0.8878
0.4953 0.9906 0.7795
0.2964 0.5928 0.6566
0.9737 0.9475 0.5103
0.6565 0.3131 0.5081
0.3232 0.6463 0.3878
0.5047 0.0094 0.2795
0.7036 0.4072 0.1566
0.0263 0.0525 0.0103
```

Results
N(E_F) = 11.5 states/eV/cell
Uncorrected formation energy = -8.32 eV per formula unit
Energy = -8.984 eV/atom

***

No. 2
DFT (PBE) results for an optimized crystal structure of PmNp2FeN4.

Structure (POSCAR):
```
PmNp2FeN4
1.0
-0.4791 3.2111 1.0991
0.8085 -3.3594 4.8225
11.0991 1.8514 -0.5710
Pm Np Fe N
2 4 2 8
direct
0.1030 0.2061 0.7500
0.8970 0.7939 0.2500
0.3694 0.7389 0.5567
0.6306 0.2611 0.0567
0.6306 0.2611 0.4433
0.3694 0.7389 0.9433
0.8392 0.6785 0.7500
0.1608 0.3215 0.2500
0.2677 0.5354 0.1131
0.7323 0.4646 0.6131
0.7323 0.4646 0.8869
0.2677 0.5354 0.3869
0.0000 0.0000 0.5000
0.0000 0.0000 0.0000
0.4440 0.8881 0.7500
0.5560 0.1119 0.2500
```

Results
N(E_F) = 16.5 states/eV/cell
Uncorrected formation energy = -8.38 eV per formula unit
Energy = -10.097 eV/atom

***

No. 3
DFT (PBE) results for an optimized crystal structure of Pu2NpFeN4.

Structure (POSCAR):
```
Pu2NpFeN4
1.0
3.2951 0.0000 0.0000
-1.6476 5.6267 0.0000
0.0000 0.0000 11.4978
Pu Np Fe N
4 2 2 8
direct
0.3675 0.7349 0.5556
0.6325 0.2651 0.0556
0.6325 0.2651 0.4444
0.3675 0.7349 0.9444
0.1098 0.2196 0.7500
0.8902 0.7804 0.2500
0.8459 0.6917 0.7500
0.1541 0.3083 0.2500
0.2741 0.5482 0.1268
0.7259 0.4518 0.6268
0.7259 0.4518 0.8732
0.2741 0.5482 0.3732
0.0000 0.0000 0.5000
0.0000 0.0000 0.0000
0.4571 0.9141 0.7500
0.5429 0.0859 0.2500
```

Results
N(E_F) = 31.7 states/eV/cell
Uncorrected formation energy = -7.17 eV per formula unit
Energy = -11.318 eV/atom

***

No. 4
DFT (PBE) results for an optimized crystal structure of Sm2NpFeN5.

Structure (POSCAR):
```
Sm2NpFeN5
1.0
-1.0071 -0.3624 3.2575
2.0484 -6.3283 -1.8754
9.5651 2.1488 3.1964
Sm Np Fe N
4 2 2 10
direct
0.8672 0.7343 0.8155
0.1038 0.2077 0.6884
0.1328 0.2657 0.3155
0.8962 0.7923 0.1884
0.7969 0.5937 0.5144
0.2031 0.4063 0.0144
0.5153 0.0306 0.9615
0.4847 0.9694 0.4615
0.3685 0.7369 0.0012
0.6811 0.3623 0.8883
0.4904 0.9808 0.7835
0.2855 0.5710 0.6488
0.9623 0.9245 0.5224
0.6315 0.2631 0.5012
0.3189 0.6377 0.3883
0.5096 0.0192 0.2835
0.7145 0.4290 0.1488
0.0377 0.0755 0.0224
```

Results
N(E_F) = 11.2 states/eV/cell
Uncorrected formation energy = -8.47 eV per formula unit
Energy = -8.993 eV/atom

***

No. 5
DFT (PBE) results for an optimized crystal structure of SmNp2FeN4.

Structure (POSCAR):
```
SmNp2FeN4
1.0
3.4189 0.0000 0.0000
-1.7095 5.6688 0.0000
0.0000 0.0000 11.2593
Sm Np Fe N
2 4 2 8
direct
0.1035 0.2070 0.7500
0.8965 0.7930 0.2500
0.3695 0.7390 0.5568
0.6305 0.2610 0.0568
0.6305 0.2610 0.4432
0.3695 0.7390 0.9432
0.8395 0.6790 0.7500
0.1605 0.3210 0.2500
0.2685 0.5369 0.1137
0.7315 0.4631 0.6137
0.7315 0.4631 0.8863
0.2685 0.5369 0.3863
0.0000 0.0000 0.5000
0.0000 0.0000 0.0000
0.4456 0.8912 0.7500
0.5544 0.1088 0.2500
```

Results
N(E_F) = 16.3 states/eV/cell
Uncorrected formation energy = -8.38 eV per formula unit
Energy = -10.093 eV/atom

***

No. 6
DFT (PBE) results for an optimized crystal structure of SrNpFeN3.

Structure (POSCAR):
```
SrNpFeN3
1.0
-0.6913 3.1000 1.3522
-4.7387 1.2865 -5.3720
-4.5445 -3.2593 5.1489
Sr Np Fe N
2 2 2 6
direct
0.7500 0.8252 0.7986
0.2500 0.1748 0.2014
0.2500 0.6541 0.1673
0.7500 0.3459 0.8327
0.2500 0.0711 0.5984
0.7500 0.9289 0.4016
0.2500 0.8379 0.4551
0.7500 0.8541 0.1485
0.7500 0.4430 0.1335
0.7500 0.1621 0.5449
0.2500 0.5570 0.8665
0.2500 0.1459 0.8515
```

Results
N(E_F) = 15.0 states/eV/cell
Uncorrected formation energy = -4.51 eV per formula unit
Energy = -8.761 eV/atom

***

No. 7
DFT (PBE) results for an optimized crystal structure of Sr2NpFe2N6.

Structure (POSCAR):
```
Sr2NpFe2N6
1.0
-2.4615 4.2319 -3.2204
-0.0250 -0.4060 -5.8458
-5.6150 -1.3540 -2.8190
Sr Np Fe N
2 1 2 6
direct
0.7711 0.7711 0.6866
0.2289 0.2289 0.3134
0.0000 0.0000 0.0000
0.4333 0.4333 0.7002
0.5667 0.5667 0.2998
0.7551 0.7551 0.2292
0.2606 0.7551 0.2292
0.7551 0.2606 0.2292
0.2449 0.7394 0.7708
0.7394 0.2449 0.7708
0.2449 0.2449 0.7708
```

Results
N(E_F) = 7.8 states/eV/cell
Uncorrected formation energy = -5.92 eV per formula unit
Energy = -8.100 eV/atom

***

No. 8
DFT (PBE) results for an optimized crystal structure of TbNp2FeN4.

Structure (POSCAR):
```
TbNp2FeN4
1.0
3.3875 0.0000 0.0000
-1.6938 5.6322 0.0000
0.0000 0.0000 11.2375
Tb Np Fe N
2 4 2 8
direct
0.1049 0.2098 0.7500
0.8951 0.7902 0.2500
0.3696 0.7393 0.5574
0.6304 0.2607 0.0574
0.6304 0.2607 0.4426
0.3696 0.7393 0.9426
0.8404 0.6807 0.7500
0.1596 0.3193 0.2500
0.2711 0.5421 0.1156
0.7289 0.4579 0.6156
0.7289 0.4579 0.8844
0.2711 0.5421 0.3844
0.0000 0.0000 0.5000
0.0000 0.0000 0.0000
0.4508 0.9016 0.7500
0.5492 0.0984 0.2500
```

Results
N(E_F) = 15.6 states/eV/cell
Uncorrected formation energy = -8.40 eV per formula unit
Energy = -10.085 eV/atom

***

No. 9
DFT (PBE) results for an optimized crystal structure of Th2NpFeN5.

Structure (POSCAR):
```
Th2NpFeN5
1.0
6.6636 0.0000 0.0000
0.0000 6.6636 0.0000
-3.3318 -3.3318 5.6676
Th Np Fe N
4 2 2 10
direct
0.1737 0.3263 0.0000
0.6737 0.1737 0.0000
0.3263 0.8263 0.0000
0.8263 0.6737 0.0000
0.2500 0.2500 0.5000
0.7500 0.7500 0.5000
0.2500 0.7500 0.5000
0.7500 0.2500 0.5000
0.9996 0.4996 0.2870
0.7125 0.2125 0.7130
0.0004 0.5004 0.7130
0.2125 0.0004 0.7130
0.5004 0.7125 0.7130
0.7875 0.9996 0.2870
0.4996 0.2875 0.2870
0.2875 0.7875 0.2870
0.5000 0.5000 0.0000
0.0000 0.0000 0.0000
```

Results
N(E_F) = 22.6 states/eV/cell
Uncorrected formation energy = -8.34 eV per formula unit
Energy = -9.579 eV/atom

***

No. 10
DFT (PBE) results for an optimized crystal structure of ThNp2FeN5.

Structure (POSCAR):
```
ThNp2FeN5
1.0
-0.0698 5.1886 3.6897
-0.6642 -3.6757 5.1564
5.8741 -1.0420 -3.9172
Th Np Fe N
2 4 2 10
direct
0.2500 0.2500 0.5000
0.7500 0.7500 0.5000
0.1678 0.3322 0.0000
0.6678 0.1678 0.0000
0.3322 0.8322 0.0000
0.8322 0.6678 0.0000
0.2500 0.7500 0.5000
0.7500 0.2500 0.5000
0.9864 0.4864 0.2753
0.7111 0.2111 0.7247
0.0136 0.5136 0.7247
0.2111 0.0136 0.7247
0.5136 0.7111 0.7247
0.7889 0.9864 0.2753
0.4864 0.2889 0.2753
0.2889 0.7889 0.2753
0.5000 0.5000 0.0000
0.0000 0.0000 0.0000
```

Results
N(E_F) = 18.7 states/eV/cell
Uncorrected formation energy = -9.31 eV per formula unit
Energy = -10.300 eV/atom

***

No. 11
DFT (PBE) results for an optimized crystal structure of NpU2FeN4.

Structure (POSCAR):
```
NpU2FeN4
1.0
3.3717 0.0000 0.0000
-1.6858 5.6289 0.0000
0.0000 0.0000 11.2143
Np U Fe N
2 4 2 8
direct
0.1086 0.2172 0.7500
0.8914 0.7828 0.2500
0.3689 0.7379 0.5596
0.6311 0.2621 0.0596
0.6311 0.2621 0.4404
0.3689 0.7379 0.9404
0.8429 0.6859 0.7500
0.1571 0.3141 0.2500
0.2747 0.5495 0.1196
0.7253 0.4505 0.6196
0.7253 0.4505 0.8804
0.2747 0.5495 0.3804
0.0000 0.0000 0.5000
0.0000 0.0000 0.0000
0.4530 0.9060 0.7500
0.5470 0.0940 0.2500
```

Results
N(E_F) = 25.4 states/eV/cell
Uncorrected formation energy = -8.39 eV per formula unit
Energy = -10.709 eV/atom

***

No. 12
DFT (PBE) results for an optimized crystal structure of Np2UFeN4.

Structure (POSCAR):
```
Np2UFeN4
1.0
-2.9853 -1.4235 -0.3456
2.7017 -0.5312 -5.1516
4.3504 -9.9257 3.3050
Np U Fe N
4 2 2 8
direct
0.3686 0.7372 0.5583
0.6314 0.2628 0.0583
0.6314 0.2628 0.4417
0.3686 0.7372 0.9417
0.1100 0.2200 0.7500
0.8900 0.7800 0.2500
0.8467 0.6935 0.7500
0.1533 0.3065 0.2500
0.2779 0.5558 0.1246
0.7221 0.4442 0.6246
0.7221 0.4442 0.8754
0.2779 0.5558 0.3754
0.0000 0.0000 0.5000
0.0000 0.0000 0.0000
0.4596 0.9193 0.7500
0.5404 0.0807 0.2500
```

Results
N(E_F) = 21.5 states/eV/cell
Uncorrected formation energy = -7.83 eV per formula unit
Energy = -10.846 eV/atom